Entry 1:
Crystalline SrOsPd3 at its relaxed geometry. Source: the Alexandria database, functional PBE-GGA.

Summary:
- ΔH_f (0 K) (meV per atom) = 1910
- energy above the most stable polymorph in this dataset (kJ/mol of atoms) = 140.1

Cell: 5.0042 5.0042 5.0042 Å, 90.00 90.00 90.00°
With the nearest neighbours (Å) after each atom.
Space group Pm-3m (No. 221)
Unique sites:
1 Sr 0.0000 0.0000 0.0000  6 Pd 2.50
2 Os 0.5000 0.5000 0.5000  12 Pd 3.54
3 Pd 0.0000 0.0000 0.5000  2 Sr 2.50

=====

Entry 2:
Crystalline ScCd2Cl at its relaxed geometry. Source: the Alexandria database, functional PBE-GGA.

Summary:
- uncorrected formation energy (eV per formula unit) = -1.15
- energy above the most stable polymorph in this dataset (kJ/mol of atoms) = 29.3

Cell: 4.4382 4.4382 9.1519 Å, 90.00 90.00 90.00°
With the nearest neighbours (Å) after each atom.
Space group I-4m2 (No. 119)
Unique sites:
1 Sc 0.0000 0.0000 0.0000  8 Cd 3.14-3.19, 4 Cl 3.19
2 Cd 0.0000 0.0000 0.5000  4 Sc 3.14, 4 Cd 3.19, 4 Cl 3.19
3 Cd 0.0000 0.5000 0.7500  4 Cl 3.14, 4 Cd 3.19, 4 Sc 3.19
4 Cl 0.0000 0.5000 0.2500  8 Cd 3.14-3.19, 4 Sc 3.19